(1)
Density functional theory data (PBE) for Tc2NiHPd after structural relaxation.

a b c (Å): 3.827 3.827 3.941
angles (deg): 90.00 90.00 90.00
Space group P4/mmm (No. 123)
Symmetry-distinct sites (fractional):
Tc: 0.000 0.500 0.000 [2 per cell]
Ni: 0.000 0.000 0.500 [1 per cell]
H: 0.000 0.000 0.000 [1 per cell]
Pd: 0.500 0.500 0.500 [1 per cell]

For the density, the calculation gives 10.4 g/cm³. The calculation puts the density of states at the Fermi level at 1.193 states/eV per atom. The value obtained for the magnetic moment is 0.00 μB per cell. As for the total energy: -0.50517 Ry/atom.

=====

(2)
Density functional theory data (PBE) for TcPb4 after structural relaxation.

a b c (Å): 6.693 6.693 6.693
angles (deg): 90.00 90.00 90.00
Space group Im-3m (No. 229)
Symmetry-distinct sites (fractional):
Tc: 0.000 0.000 0.000 [2 per cell]
Pb: 0.250 0.250 0.250 [8 per cell]

For the density, the calculation gives 10.3 g/cm³. The calculation puts the polymorph energy (0 for the lowest one) at 0.061 eV/atom. The calculation puts the density of states at the Fermi level at 0.954 states/eV per atom. The value obtained for the magnetic moment is 4.29 μB per cell. The formation energy comes out at 0.497 eV/atom. As for the total energy: -0.33388 Ry/atom.

=====

(3)
Density functional theory data (PBE) for LiNi2P after structural relaxation.

a b c (Å): 3.493 3.493 8.183
angles (deg): 90.00 90.00 90.00
Space group P4/nmm (No. 129, origin choice 2)
Symmetry-distinct sites (fractional):
Li: 0.250 0.250 0.239 [2 per cell]
Ni: 0.250 0.250 0.935 [2 per cell]
Ni: 0.250 0.750 0.500 [2 per cell]
P: 0.250 0.250 0.676 [2 per cell]

For the density, the calculation gives 5.2 g/cm³. The calculation puts the density of states at the Fermi level at 0.952 states/eV per atom. The value obtained for the magnetic moment is 0.00 μB per cell. The formation energy comes out at -0.349 eV/atom. As for the total energy: -0.37266 Ry/atom.

=====

The lowest density belongs to which entry? LiNi2P

=====

Look up the magnetic moment of the first one. 0.00 μB per cell